(1)
The following is a PBE calculation of a relaxed TbPrHgGe crystal, from Alexandria.

SG: F-43m
Formation energy from the elements in eV/atom: -0.56

Unit cell a=5.263 b=5.263 c=5.263 alpha=60.00 beta=60.00 gamma=60.00
Fractional coordinates of all 4 atoms:
Tb  0.000  0.000  0.000
Pr  0.500  0.500  0.500
Hg  0.250  0.250  0.250
Ge  0.750  0.750  0.750

(2)
The following is a PBE calculation of a relaxed Pr8HgGe3Te4 crystal, from Alexandria.

Formation energy (no corrections) in eV/atom: -1.129
SG: R-3m

Unit cell a=9.003 b=9.003 c=9.003 alpha=58.99 beta=58.99 gamma=58.99
Fractional coordinates of all 16 atoms:
Pr  0.233  0.751  0.751
Pr  0.241  0.241  0.241
Pr  0.249  0.249  0.767
Pr  0.249  0.767  0.249
Pr  0.751  0.233  0.751
Pr  0.751  0.751  0.233
Pr  0.759  0.759  0.759
Pr  0.767  0.249  0.249
Hg  0.500  0.500  0.500
Ge  0.000  0.000  0.500
Ge  0.000  0.500  0.000
Ge  0.500  0.000  0.000
Te  0.000  0.000  0.000
Te  0.000  0.500  0.500
Te  0.500  0.000  0.500
Te  0.500  0.500  0.000

(3)
The following is a PBE calculation of a relaxed PrTmHgGe crystal, from Alexandria.

SG: F-43m
Formation energy from the elements in eV/atom: -0.53

Unit cell a=5.224 b=5.224 c=5.224 alpha=60.00 beta=60.00 gamma=60.00
Fractional coordinates of all 4 atoms:
Pr  0.000  0.000  0.000
Tm  0.500  0.500  0.500
Hg  0.750  0.750  0.750
Ge  0.250  0.250  0.250

(4)
The following is a PBE calculation of a relaxed HgGePt2 crystal, from Alexandria.

SG: R-3m
Formation energy from the elements in eV/atom: -0.13

Unit cell a=8.565 b=8.565 c=8.565 alpha=20.93 beta=20.93 gamma=20.93
Fractional coordinates of all 4 atoms:
Hg  0.000  0.000  0.000
Ge  0.500  0.500  0.500
Pt  0.239  0.239  0.239
Pt  0.761  0.761  0.761

(5)
The following is a PBE calculation of a relaxed HgGePt3 crystal, from Alexandria.

SG: Pm-3m
Distance to the lowest polymorph of the same formula in meV per atom: 0
Formation energy from the elements in eV/atom: 0.41

Unit cell a=4.675 b=4.675 c=4.675 alpha=90.00 beta=90.00 gamma=90.00
Fractional coordinates of all 5 atoms:
Hg  0.000  0.000  0.000
Ge  0.500  0.500  0.500
Pt  0.000  0.500  0.500
Pt  0.500  0.000  0.500
Pt  0.500  0.500  0.000

(6)
The following is a PBE calculation of a relaxed HgGe2Pt crystal, from Alexandria.

SG: I-42d
Formation energy from the elements in eV/atom: 0.05

Unit cell a=8.681 b=8.681 c=8.681 alpha=149.24 beta=149.24 gamma=44.05
Fractional coordinates of all 8 atoms:
Hg  0.000  0.000  0.000
Hg  0.750  0.250  0.500
Ge  0.176  0.625  0.051
Ge  0.375  0.426  0.551
Ge  0.574  0.125  0.949
Ge  0.875  0.824  0.449
Pt  0.250  0.750  0.500
Pt  0.500  0.500  0.000

(7)
The following is a PBE calculation of a relaxed HgGe2Pt4 crystal, from Alexandria.

SG: I4/mmm
Formation energy from the elements in eV/atom: 0.66

Unit cell a=7.273 b=7.273 c=7.273 alpha=139.84 beta=139.84 gamma=58.09
Fractional coordinates of all 7 atoms:
Hg  0.000  0.000  0.000
Ge  0.400  0.400  0.000
Ge  0.600  0.600  0.000
Pt  0.000  0.500  0.500
Pt  0.219  0.219  0.000
Pt  0.500  0.000  0.500
Pt  0.781  0.781  0.000

(8)
The following is a PBE calculation of a relaxed HgGe2Pt7 crystal, from Alexandria.

SG: I4/mmm
Formation energy from the elements in eV/atom: -0.25

Unit cell a=10.570 b=10.570 c=10.570 alpha=157.73 beta=157.73 gamma=31.71
Fractional coordinates of all 10 atoms:
Hg  0.000  0.000  0.000
Ge  0.325  0.325  0.000
Ge  0.675  0.675  0.000
Pt  0.103  0.603  0.500
Pt  0.250  0.750  0.500
Pt  0.397  0.897  0.500
Pt  0.500  0.500  0.000
Pt  0.603  0.103  0.500
Pt  0.750  0.250  0.500
Pt  0.897  0.397  0.500

(9)
The following is a PBE calculation of a relaxed HgGe3Pt crystal, from Alexandria.

SG: Pm-3m
Formation energy from the elements in eV/atom: 0.28

Unit cell a=4.942 b=4.942 c=4.942 alpha=90.00 beta=90.00 gamma=90.00
Fractional coordinates of all 5 atoms:
Hg  0.000  0.000  0.000
Ge  0.000  0.500  0.500
Ge  0.500  0.000  0.500
Ge  0.500  0.500  0.000
Pt  0.500  0.500  0.500

(10)
The following is a PBE calculation of a relaxed HgGePt2 crystal, from Alexandria.

SG: R3m
Formation energy from the elements in eV/atom: -0.15

Unit cell a=5.783 b=5.783 c=5.783 alpha=41.17 beta=41.17 gamma=41.17
Fractional coordinates of all 4 atoms:
Hg  0.000  0.000  0.000
Ge  0.176  0.176  0.176
Pt  0.563  0.563  0.563
Pt  0.777  0.777  0.777

(11)
The following is a PBE calculation of a relaxed Hg2Ge2Pt crystal, from Alexandria.

SG: P4/mbm
Formation energy from the elements in eV/atom: -0.03

Unit cell a=6.424 b=6.424 c=5.559 alpha=90.00 beta=90.00 gamma=90.00
Fractional coordinates of all 10 atoms:
Hg  0.190  0.310  0.000
Hg  0.310  0.810  0.000
Hg  0.690  0.190  0.000
Hg  0.810  0.690  0.000
Ge  0.142  0.358  0.500
Ge  0.358  0.858  0.500
Ge  0.642  0.142  0.500
Ge  0.858  0.642  0.500
Pt  0.000  0.000  0.500
Pt  0.500  0.500  0.500

(12)
The following is a PBE calculation of a relaxed HgGe2Pt crystal, from Alexandria.

SG: R-3m
Formation energy from the elements in eV/atom: -0.13

Unit cell a=8.419 b=8.419 c=8.419 alpha=24.83 beta=24.83 gamma=24.83
Fractional coordinates of all 4 atoms:
Hg  0.000  0.000  0.000
Ge  0.108  0.108  0.108
Ge  0.892  0.892  0.892
Pt  0.500  0.500  0.500

(13)
The following is a PBE calculation of a relaxed HgGePt2 crystal, from Alexandria.

SG: I-42d
Formation energy from the elements in eV/atom: -0.06

Unit cell a=5.844 b=5.844 c=5.844 alpha=103.55 beta=103.55 gamma=122.11
Fractional coordinates of all 8 atoms:
Hg  0.000  0.000  0.000
Hg  0.750  0.250  0.500
Ge  0.250  0.750  0.500
Ge  0.500  0.500  0.000
Pt  0.168  0.625  0.043
Pt  0.375  0.418  0.543
Pt  0.582  0.125  0.957
Pt  0.875  0.832  0.457

(14)
The following is a PBE calculation of a relaxed Hg2GePt2 crystal, from Alexandria.

SG: P4/mbm
Formation energy from the elements in eV/atom: -0.03

Unit cell a=6.679 b=6.679 c=4.329 alpha=90.00 beta=90.00 gamma=90.00
Fractional coordinates of all 10 atoms:
Hg  0.157  0.343  0.000
Hg  0.343  0.843  0.000
Hg  0.657  0.157  0.000
Hg  0.843  0.657  0.000
Ge  0.000  0.000  0.500
Ge  0.500  0.500  0.500
Pt  0.153  0.653  0.500
Pt  0.347  0.153  0.500
Pt  0.653  0.847  0.500
Pt  0.847  0.347  0.500

(15)
The following is a PBE calculation of a relaxed Pu4HgGe2Pt crystal, from Alexandria.

SG: R-3m
Formation energy from the elements in eV/atom: -0.41

Unit cell a=8.765 b=8.765 c=8.765 alpha=34.07 beta=34.07 gamma=34.07
Fractional coordinates of all 8 atoms:
Pu  0.114  0.114  0.114
Pu  0.368  0.368  0.368
Pu  0.632  0.632  0.632
Pu  0.886  0.886  0.886
Hg  0.500  0.500  0.500
Ge  0.243  0.243  0.243
Ge  0.757  0.757  0.757
Pt  0.000  0.000  0.000

(16)
The following is a PBE calculation of a relaxed Pu2HgGe4Pt3 crystal, from Alexandria.

SG: P-4m2
Formation energy from the elements in eV/atom: -0.52

Unit cell a=4.372 b=4.372 c=10.416 alpha=90.00 beta=90.00 gamma=90.00
Fractional coordinates of all 10 atoms:
Pu  0.000  0.500  0.244
Pu  0.500  0.000  0.756
Hg  0.000  0.000  0.500
Ge  0.000  0.000  0.000
Ge  0.000  0.500  0.648
Ge  0.500  0.000  0.352
Ge  0.500  0.500  0.000
Pt  0.000  0.500  0.881
Pt  0.500  0.000  0.119
Pt  0.500  0.500  0.500

(17)
The following is a PBE calculation of a relaxed Pu2HgGe3Pt4 crystal, from Alexandria.

SG: P-4m2
Formation energy from the elements in eV/atom: -0.57

Unit cell a=4.151 b=4.151 c=11.499 alpha=90.00 beta=90.00 gamma=90.00
Fractional coordinates of all 10 atoms:
Pu  0.000  0.500  0.246
Pu  0.500  0.000  0.754
Hg  0.000  0.000  0.500
Ge  0.000  0.500  0.873
Ge  0.500  0.000  0.127
Ge  0.500  0.500  0.500
Pt  0.000  0.000  0.000
Pt  0.000  0.500  0.663
Pt  0.500  0.000  0.337
Pt  0.500  0.500  0.000

(18)
The following is a PBE calculation of a relaxed SiHg2GePt crystal, from Alexandria.

Formation energy (no corrections) in eV/atom: 0.736
SG: P4/mmm

Unit cell a=5.199 b=5.199 c=4.702 alpha=90.00 beta=90.00 gamma=90.00
Fractional coordinates of all 5 atoms:
Si  0.000  0.000  0.000
Hg  0.000  0.500  0.500
Hg  0.500  0.000  0.500
Ge  0.500  0.500  0.500
Pt  0.500  0.500  0.000

(19)
The following is a PBE calculation of a relaxed Sm2HgGe3Pt4 crystal, from Alexandria.

SG: P-4m2
Formation energy from the elements in eV/atom: -0.79

Unit cell a=4.234 b=4.234 c=11.115 alpha=90.00 beta=90.00 gamma=90.00
Fractional coordinates of all 10 atoms:
Sm  0.000  0.500  0.245
Sm  0.500  0.000  0.755
Hg  0.000  0.000  0.500
Ge  0.000  0.500  0.874
Ge  0.500  0.000  0.126
Ge  0.500  0.500  0.500
Pt  0.000  0.000  0.000
Pt  0.000  0.500  0.659
Pt  0.500  0.000  0.341
Pt  0.500  0.500  0.000

(20)
The following is a PBE calculation of a relaxed Sm2HgGe4Pt3 crystal, from Alexandria.

SG: P-4m2
Formation energy from the elements in eV/atom: -0.74

Unit cell a=4.344 b=4.344 c=10.561 alpha=90.00 beta=90.00 gamma=90.00
Fractional coordinates of all 10 atoms:
Sm  0.000  0.500  0.246
Sm  0.500  0.000  0.754
Hg  0.000  0.000  0.500
Ge  0.000  0.000  0.000
Ge  0.000  0.500  0.648
Ge  0.500  0.000  0.352
Ge  0.500  0.500  0.000
Pt  0.000  0.500  0.879
Pt  0.500  0.000  0.121
Pt  0.500  0.500  0.500

(21)
The following is a PBE calculation of a relaxed Sr2HgGe4Pt3 crystal, from Alexandria.

SG: P-4m2
Formation energy from the elements in eV/atom: -0.66

Unit cell a=4.503 b=4.503 c=10.379 alpha=90.00 beta=90.00 gamma=90.00
Fractional coordinates of all 10 atoms:
Sr  0.000  0.500  0.245
Sr  0.500  0.000  0.755
Hg  0.000  0.000  0.500
Ge  0.000  0.000  0.000
Ge  0.000  0.500  0.643
Ge  0.500  0.000  0.357
Ge  0.500  0.500  0.000
Pt  0.000  0.500  0.884
Pt  0.500  0.000  0.116
Pt  0.500  0.500  0.500

(22)
The following is a PBE calculation of a relaxed Sr2HgGe3Pt4 crystal, from Alexandria.

SG: P-4m2
Formation energy from the elements in eV/atom: -0.70

Unit cell a=4.496 b=4.496 c=10.463 alpha=90.00 beta=90.00 gamma=90.00
Fractional coordinates of all 10 atoms:
Sr  0.000  0.500  0.248
Sr  0.500  0.000  0.752
Hg  0.000  0.000  0.500
Ge  0.000  0.500  0.883
Ge  0.500  0.000  0.117
Ge  0.500  0.500  0.500
Pt  0.000  0.000  0.000
Pt  0.000  0.500  0.649
Pt  0.500  0.000  0.351
Pt  0.500  0.500  0.000

(23)
The following is a PBE calculation of a relaxed SrHgGe2Pt5 crystal, from Alexandria.

SG: P4/mmm
Formation energy from the elements in eV/atom: -0.41

Unit cell a=4.123 b=4.123 c=11.462 alpha=90.00 beta=90.00 gamma=90.00
Fractional coordinates of all 9 atoms:
Sr  0.000  0.000  0.000
Hg  0.000  0.000  0.500
Ge  0.500  0.500  0.211
Ge  0.500  0.500  0.789
Pt  0.000  0.500  0.327
Pt  0.000  0.500  0.673
Pt  0.500  0.000  0.327
Pt  0.500  0.000  0.673
Pt  0.500  0.500  0.000

(24)
The following is a PBE calculation of a relaxed HgGeTe2Pt crystal, from Alexandria.

Formation energy (no corrections) in eV/atom: 0.226
SG: P4/mmm

Unit cell a=5.582 b=5.582 c=4.662 alpha=90.00 beta=90.00 gamma=90.00
Fractional coordinates of all 5 atoms:
Hg  0.000  0.000  0.000
Ge  0.500  0.500  0.000
Te  0.000  0.500  0.500
Te  0.500  0.000  0.500
Pt  0.500  0.500  0.500

(25)
The following is a PBE calculation of a relaxed Y2HgGe3Pt4 crystal, from Alexandria.

SG: P-4m2
Formation energy from the elements in eV/atom: -0.76

Unit cell a=4.180 b=4.180 c=11.198 alpha=90.00 beta=90.00 gamma=90.00
Fractional coordinates of all 10 atoms:
Y  0.000  0.500  0.244
Y  0.500  0.000  0.756
Hg  0.000  0.000  0.500
Ge  0.000  0.500  0.873
Ge  0.500  0.000  0.127
Ge  0.500  0.500  0.500
Pt  0.000  0.000  0.000
Pt  0.000  0.500  0.661
Pt  0.500  0.000  0.339
Pt  0.500  0.500  0.000